Material: MgBeSi2
Method: DFT, PBE
State: optimized geometry

Output
DOS(E_F)   0.90 states/eV/f.u.
Crystal system   trigonal
Distance to the lowest polymorph of the same formula   202.5 meV/atom
Uncorrected formation energy   6.99 kcal/mol of atoms

Cell lengths 3.0869, 3.0869, 22.2989 Å; angles 90.00, 90.00, 120.00 degrees
Space group R-3m (No. 166, hexagonal axes)
Unique sites:
1 Mg 0.0000 0.0000 0.0000
2 Be 0.0000 0.0000 0.5000
3 Si 0.0000 0.0000 0.2353

=====

Material: TaCo4Se
Method: DFT, PBE
State: optimized geometry

Output
DOS(E_F)   7.88 states/eV/f.u.
Crystal system   cubic
Uncorrected formation energy   3.69 kcal/mol of atoms

Cell lengths 6.789, 6.789, 6.789 Å; angles 90.00, 90.00, 90.00 degrees
Space group F-43m (No. 216)
Unique sites:
1 Ta 0.000 0.000 0.000
2 Co 0.126 0.126 0.626
3 Se 0.250 0.250 0.250

=====

Material: KSc2Sn
Method: DFT, PBE
State: optimized geometry

Output
DOS(E_F)   3.46 states/eV/f.u.
Crystal system   tetragonal
DFT formation energy   0.46 eV/atom

Cell lengths 5.796, 5.796, 20.201 Å; angles 90.00, 90.00, 90.00 degrees
Space group I4_1/amd (No. 141, origin choice 2)
Unique sites:
1 K 0.000 0.250 0.375
2 Sc 0.000 0.000 0.000
3 Sn 0.000 0.250 0.875

=====

Material: BiIrS2
Method: DFT, PBE
State: optimized geometry

Output
DOS(E_F)   0.39 states/eV/f.u.
Crystal system   orthorhombic
Uncorrected formation energy   -4.03 kcal/mol of atoms

Cell lengths 8.773, 3.546, 11.182 Å; angles 90.00, 90.00, 90.00 degrees
Space group Pnma (No. 62)
Unique sites:
1 Bi 0.118 0.250 0.173
2 Ir 0.113 0.750 0.376
3 S 0.068 0.750 0.601
4 S 0.206 0.750 0.909